(1)
A relaxed structure of BaHoTm, computed with PBE-GGA.

energy relative to the lowest polymorph listed for this composition: 0.000 eV/atom

Cell lengths 5.7486, 5.7486, 5.7486 Å; angles 60.00, 60.00, 60.00 degrees
Last column: nearest neighbours and their distance in Å.
Fractional coordinates of all 3 atoms:
Ba 0.0000 0.0000 0.0000  4 Tm 3.52
Ho 0.5000 0.5000 0.5000  4 Tm 3.52
Tm 0.2500 0.2500 0.2500  4 Ho 3.52, 4 Ba 3.52



(2)
A relaxed structure of SrMo2Au, computed with PBE-GGA.

Cell lengths 4.7927, 4.7927, 4.7927 Å; angles 60.00, 60.00, 60.00 degrees
Last column: nearest neighbours and their distance in Å.
Fractional coordinates of all 4 atoms:
Sr 0.0000 0.0000 0.0000  4 Mo 2.93, 4 Au 2.93
Mo 0.5000 0.5000 0.5000  4 Mo 2.93, 4 Au 2.93
Mo 0.7500 0.7500 0.7500  4 Mo 2.93, 4 Sr 2.93
Au 0.2500 0.2500 0.2500  4 Mo 2.93, 4 Sr 2.93



(3)
A relaxed structure of BaAgNO, computed with PBE-GGA.

energy relative to the lowest polymorph listed for this composition: 0.007 eV/atom

Cell lengths 4.3250, 4.3250, 9.2781 Å; angles 90.00, 90.00, 90.00 degrees
Last column: nearest neighbours and their distance in Å.
Fractional coordinates of all 8 atoms:
Ba 0.2500 0.2500 0.1415  4 O 2.53
Ba 0.7500 0.7500 0.8585  4 O 2.53
Ag 0.2500 0.7500 0.5000  4 N 2.20
Ag 0.7500 0.2500 0.5000  4 N 2.20
N 0.2500 0.2500 0.4545  4 Ag 2.20
N 0.7500 0.7500 0.5455  4 Ag 2.20
O 0.2500 0.7500 0.0000  4 Ba 2.53
O 0.7500 0.2500 0.0000  4 Ba 2.53



(4)
A relaxed structure of MoPdPt, computed with PBE-GGA.

formation energy: -0.246 eV/atom
energy relative to the lowest polymorph listed for this composition: 0.012 eV/atom

Cell lengths 2.7761, 3.9684, 8.3192 Å; angles 90.00, 90.00, 90.00 degrees
Last column: nearest neighbours and their distance in Å.
Fractional coordinates of all 6 atoms:
Mo 0.2500 0.2500 0.2475  5 Pt 2.76-2.80, 2 Mo 2.78, 5 Pd 2.79-2.80
Mo 0.7500 0.7500 0.7525  5 Pt 2.76-2.80, 2 Mo 2.78, 5 Pd 2.79-2.80
Pd 0.2500 0.2500 0.5825  1 Pt 2.73, 6 Pd 2.78, 5 Mo 2.79-2.80
Pd 0.7500 0.7500 0.4175  1 Pt 2.73, 6 Pd 2.78, 5 Mo 2.79-2.80
Pt 0.2500 0.2500 0.9107  1 Pd 2.73, 5 Mo 2.76-2.80, 6 Pt 2.78-2.84
Pt 0.7500 0.7500 0.0893  1 Pd 2.73, 5 Mo 2.76-2.80, 6 Pt 2.78-2.84



E, record by record: -8.5; -23.7; -19.4; -22.8 eV/f.u.